This record from Alexandria via LeMat-Bulk describes a geometry-optimized CsPtC structure. The functional is GGA-PBE.

The formation energy comes out at 0.26 eV per atom. Its space group is P2_1/c.

abc: 11.203 5.225 7.023
angles: 90.00 90.84 90.00
Positions (direct):
Cs 0.240 0.007 0.318
Cs 0.240 0.493 0.818
Cs 0.760 0.507 0.182
Cs 0.760 0.993 0.682
Pt 0.477 0.606 0.177
Pt 0.477 0.894 0.677
Pt 0.523 0.106 0.323
Pt 0.523 0.394 0.823
C 0.478 0.617 0.478
C 0.478 0.883 0.978
C 0.522 0.117 0.022
C 0.522 0.383 0.522

***

This record from Alexandria via LeMat-Bulk describes a geometry-optimized Cs2PtC structure. The functional is GGA-PBE.

The formation energy comes out at 1.55 eV per atom. Its space group is Fm-3m.

abc: 5.862 5.862 5.862
angles: 60.00 60.00 60.00
Positions (direct):
Cs 0.250 0.250 0.250
Cs 0.750 0.750 0.750
Pt 0.000 0.000 0.000
C 0.500 0.500 0.500

***

This record from Alexandria via LeMat-Bulk describes a geometry-optimized Cs2PtC2 structure. The functional is GGA-PBE.

The formation energy comes out at -0.08 eV per atom. Its space group is P-3m1.

abc: 5.755 5.755 5.260
angles: 90.00 90.00 120.00
Positions (direct):
Cs 0.333 0.667 0.270
Cs 0.667 0.333 0.730
Pt 0.000 0.000 0.000
C 0.000 0.000 0.379
C 0.000 0.000 0.621

***

This record from Alexandria via LeMat-Bulk describes a geometry-optimized CsPt3C structure. The functional is GGA-PBE.

The energy above the most stable polymorph in this dataset is 2557.0 meV per atom. The formation energy comes out at 3.40 eV per atom. Its space group is Pm-3m.

abc: 5.249 5.249 5.249
angles: 90.00 90.00 90.00
Positions (direct):
Cs 0.000 0.000 0.000
Pt 0.000 0.000 0.500
Pt 0.000 0.500 0.000
Pt 0.500 0.000 0.000
C 0.500 0.500 0.500

***

This record from Alexandria via LeMat-Bulk describes a geometry-optimized CsRePtC2 structure. The functional is GGA-PBE.

The formation energy comes out at 1.34 eV per atom. Its space group is P4/mmm.

abc: 4.099 4.099 5.439
angles: 90.00 90.00 90.00
Positions (direct):
Cs 0.000 0.000 0.000
Re 0.500 0.500 0.500
Pt 0.500 0.500 0.000
C 0.000 0.500 0.500
C 0.500 0.000 0.500

***

This record from Alexandria via LeMat-Bulk describes a geometry-optimized CsRb3C structure. The functional is GGA-PBE.

The energy above the most stable polymorph in this dataset is 0.0 meV per atom. The formation energy comes out at 1.02 eV per atom. Its space group is Pm-3m.

abc: 6.592 6.592 6.592
angles: 90.00 90.00 90.00
Positions (direct):
Cs 0.000 0.000 0.000
Rb 0.000 0.500 0.500
Rb 0.500 0.000 0.500
Rb 0.500 0.500 0.000
C 0.500 0.500 0.500

***

This record from Alexandria via LeMat-Bulk describes a geometry-optimized CsRb3C structure. The functional is GGA-PBE.

The energy above the most stable polymorph in this dataset is 571.8 meV per atom. The formation energy comes out at 1.59 eV per atom. Its space group is Pm-3m.

abc: 8.599 8.599 8.599
angles: 90.00 90.00 90.00
Positions (direct):
Cs 0.000 0.000 0.000
Rb 0.000 0.000 0.500
Rb 0.000 0.500 0.000
Rb 0.500 0.000 0.000
C 0.500 0.500 0.500

***

This record from Alexandria via LeMat-Bulk describes a geometry-optimized CsRbC2S structure. The functional is GGA-PBE.

Its space group is P4/mmm. The value obtained for the energy relative to the elements, uncorrected is 12.291 eV per formula unit.

abc: 5.414 5.414 11.506
angles: 90.00 90.00 90.00
Positions (direct):
Cs 0.000 0.000 0.000
Rb 0.000 0.000 0.500
C 0.000 0.500 0.000
C 0.500 0.000 0.000
S 0.500 0.500 0.500

***

Electronic total energy, record by record: -0.1878; -0.0991; -0.1954; -0.0823; -0.2285; -0.0579; -0.0369; -0.0890 Ha/atom
M_tot, record by record: 0.000; 2.000; 0.000; 1.404; 0.000; 0.000; 2.217; 6.020 μB/f.u.